Record 1
KLiN4: optimized geometry, PBE.

a b c (Å): 5.3718 5.3718 7.7274
angles (deg): 110.34 110.34 90.00
Closest atoms and distances in Å follow each position.
Positions (direct):
K: 0.1250 0.3750 0.7500  12 N 2.78-3.03
K: 0.8750 0.6250 0.2500  12 N 2.78-3.03
N: 0.3455 0.7053 0.1910  1 N 1.18
N: 0.9857 0.8455 0.6910  1 N 1.18
N: 0.6545 0.5143 0.8090  1 N 1.18
N: 0.2053 0.8455 0.6910  1 N 1.18
N: 0.7947 0.1545 0.3090  1 N 1.18
N: 0.3455 0.4857 0.1910  1 N 1.18
N: 0.0143 0.1545 0.3090  1 N 1.18
N: 0.6545 0.2947 0.8090  1 N 1.18
Li: 0.6250 0.8750 0.7500  4 N 2.13
Li: 0.3750 0.1250 0.2500  4 N 2.13

Summary:
The calculation puts the magnetization at 0.00 μB/cell. The uncorrected formation energy comes out at -0.13 eV per atom.


Record 2
KLi3N: optimized geometry, PBE.

a b c (Å): 4.7435 4.7435 4.7435
angles (deg): 90.00 90.00 90.00
Closest atoms and distances in Å follow each position.
Positions (direct):
N: 0.5000 0.5000 0.5000  12 Li 3.35
Li: 0.5000 0.0000 0.0000  2 K 2.37
Li: 0.0000 0.0000 0.5000  2 K 2.37
Li: 0.0000 0.5000 0.0000  2 K 2.37
K: 0.0000 0.0000 0.0000  6 Li 2.37

Summary:
The calculation puts the magnetization at 0.00 μB/cell. The uncorrected formation energy comes out at 1.71 eV per atom. As for the excess energy over the best structure of this formula in the dataset: 8.914 eV per formula unit.


magnetization of number 2 (KLi3N)? 0.00 μB/cell